(1)
The following is a DFT calculation (PBE) of an optimized crystal structure of Nd3GaHg2Rh3.

Geometry as POSCAR:
```
Nd3GaHg2Rh3
1.0
7.795 0.000 0.000
-3.897 6.750 0.000
0.000 0.000 3.758
Nd Ga Hg Rh
3 1 2 3
Direct
0.000 0.374 0.000 Nd
0.374 0.000 0.000 Nd
0.626 0.626 0.000 Nd
0.000 0.000 0.000 Ga
0.333 0.667 0.500 Hg
0.667 0.333 0.500 Hg
0.000 0.773 0.500 Rh
0.227 0.227 0.500 Rh
0.773 0.000 0.500 Rh
```

Output
Volume ... 197.7 Å³ per cell
E_form ... -545 meV per atom
Crystal system ... hexagonal
SG ... P-62m (189)
Electronic total energy ... -4.988 eV/atom

=====

(2)
The following is a DFT calculation (PBE) of an optimized crystal structure of NaIrI2.

Geometry as POSCAR:
```
NaIrI2
1.0
-3.221 3.221 6.895
3.221 -3.221 6.895
3.221 3.221 -6.895
Na Ir I
2 2 4
Direct
0.000 0.000 0.000 Na
0.750 0.250 0.500 Na
0.250 0.750 0.500 Ir
0.500 0.500 0.000 Ir
0.194 0.625 0.069 I
0.375 0.444 0.569 I
0.556 0.125 0.931 I
0.875 0.806 0.431 I
```

Output
Volume ... 286.1 Å³ per cell
Crystal system ... tetragonal
SG ... I-42d (122)
Electronic total energy ... -3.263 eV/atom
Offset from the most stable computed form ... 0.000 eV/atom
ΔE_f (raw) ... 0.057 eV/atom

=====

(3)
The following is a DFT calculation (PBE) of an optimized crystal structure of La2Tb2Sn2O.

Geometry as POSCAR:
```
La2Tb2Sn2O
1.0
-2.349 2.349 8.677
2.349 -2.349 8.677
2.349 2.349 -8.677
La Tb Sn O
2 2 2 1
Direct
0.174 0.174 0.000 La
0.826 0.826 0.000 La
0.000 0.500 0.500 Tb
0.500 0.000 0.500 Tb
0.368 0.368 0.000 Sn
0.632 0.632 0.000 Sn
0.000 0.000 0.000 O
```

Output
Volume ... 191.5 Å³ per cell
Crystal system ... tetragonal
SG ... I4/mmm (139)
Electronic total energy ... -5.979 eV/atom
ΔE_f (raw) ... -1.396 eV/atom

=====

(4)
The following is a DFT calculation (PBE) of an optimized crystal structure of TlSb2Br.

Geometry as POSCAR:
```
TlSb2Br
1.0
7.347 -2.066 0.000
7.347 2.066 0.000
-1.114 0.000 4.863
Tl Sb Br
1 2 1
Direct
0.000 0.000 0.000 Tl
0.287 0.287 0.683 Sb
0.713 0.713 0.317 Sb
0.500 0.500 0.500 Br
```

Output
Volume ... 147.6 Å³ per cell
Crystal system ... monoclinic
SG ... C2/m (12)
Electronic total energy ... -3.200 eV/atom
Offset from the most stable computed form ... 0.191 eV/atom
ΔE_f (raw) ... -0.129 eV/atom

=====

(5)
The following is a DFT calculation (PBE) of an optimized crystal structure of Re2SeCl.

Geometry as POSCAR:
```
Re2SeCl
1.0
1.499 0.866 9.781
-1.499 0.866 9.781
0.000 -1.731 9.781
Re Se Cl
2 1 1
Direct
0.000 0.000 0.000 Re
0.260 0.260 0.260 Re
0.531 0.531 0.531 Se
0.730 0.730 0.730 Cl
```

Output
Volume ... 76.2 Å³ per cell
Crystal system ... trigonal
SG ... R3m (160)
Electronic total energy ... -7.392 eV/atom
Offset from the most stable computed form ... 0.180 eV/atom
ΔE_f (raw) ... 0.165 eV/atom

=====

(6)
The following is a DFT calculation (PBE) of an optimized crystal structure of RbPaS2.

Geometry as POSCAR:
```
RbPaS2
1.0
3.511 0.000 0.000
0.000 3.511 0.000
0.000 0.000 7.899
Rb Pa S
1 1 2
Direct
0.000 0.000 0.000 Rb
0.000 0.000 0.500 Pa
0.500 0.500 0.302 S
0.500 0.500 0.698 S
```

Output
Volume ... 97.4 Å³ per cell
Crystal system ... tetragonal
SG ... P4/mmm (123)
Electronic total energy ... -6.027 eV/atom
ΔE_f (raw) ... -1.347 eV/atom

=====

(7)
The following is a DFT calculation (PBE) of an optimized crystal structure of KFeRe2.

Geometry as POSCAR:
```
KFeRe2
1.0
3.745 0.000 0.000
0.000 3.745 0.000
0.000 0.000 5.007
K Fe Re
1 1 2
Direct
0.000 0.000 0.000 K
0.500 0.500 0.000 Fe
0.000 0.500 0.500 Re
0.500 0.000 0.500 Re
```

Output
Volume ... 70.2 Å³ per cell
E_form ... 1729 meV per atom
Crystal system ... tetragonal
SG ... P4/mmm (123)
Electronic total energy ... -6.885 eV/atom
Offset from the most stable computed form ... 0.926 eV/atom

=====

(8)
The following is a DFT calculation (PBE) of an optimized crystal structure of Ca2MgZr.

Geometry as POSCAR:
```
Ca2MgZr
1.0
5.836 -1.735 0.000
5.836 1.735 0.000
-1.250 0.000 5.891
Ca Mg Zr
2 1 1
Direct
0.247 0.247 0.254 Ca
0.753 0.753 0.746 Ca
0.500 0.500 0.000 Mg
0.000 0.000 0.500 Zr
```

Output
Volume ... 119.3 Å³ per cell
E_form ... 295 meV per atom
Crystal system ... monoclinic
SG ... C2/m (12)
Electronic total energy ... -3.241 eV/atom

=====

(9)
The following is a DFT calculation (PBE) of an optimized crystal structure of KEuYSbO6.

Geometry as POSCAR:
```
KEuYSbO6
1.0
0.000 4.200 4.200
4.200 0.000 4.200
4.200 4.200 0.000
K Eu Y Sb O
1 1 1 1 6
Direct
0.000 0.000 0.000 K
0.500 0.500 0.500 Eu
0.250 0.250 0.250 Y
0.750 0.750 0.750 Sb
0.513 0.513 0.987 O
0.513 0.987 0.513 O
0.513 0.987 0.987 O
0.987 0.513 0.513 O
0.987 0.513 0.987 O
0.987 0.987 0.513 O
```

Output
Volume ... 148.2 Å³ per cell
Crystal system ... cubic
SG ... F-43m (216)
Electronic total energy ... -7.439 eV/atom
ΔE_f (raw) ... -2.268 eV/atom

=====

(10)
The following is a DFT calculation (PBE) of an optimized crystal structure of AgB2O4.

Geometry as POSCAR:
```
AgB2O4
1.0
0.000 5.735 5.440
3.373 0.000 5.440
3.373 5.735 0.000
Ag B O
2 4 8
Direct
0.000 0.000 0.000 Ag
0.250 0.250 0.250 Ag
0.101 0.617 0.655 B
0.595 0.623 0.149 B
0.617 0.101 0.627 B
0.623 0.595 0.633 B
0.266 0.424 0.474 O
0.414 0.776 0.826 O
0.415 0.831 0.313 O
0.424 0.266 0.836 O
0.776 0.414 0.984 O
0.808 0.937 0.419 O
0.831 0.415 0.442 O
0.937 0.808 0.835 O
```

Output
Volume ... 210.5 Å³ per cell
Crystal system ... orthorhombic
SG ... Fdd2 (43)
Electronic total energy ... -6.423 eV/atom
ΔE_f (raw) ... -1.274 eV/atom

=====

(11)
The following is a DFT calculation (PBE) of an optimized crystal structure of LiHo2Bi.

Geometry as POSCAR:
```
LiHo2Bi
1.0
4.895 0.000 0.000
0.000 4.895 0.000
0.000 0.000 4.384
Li Ho Bi
1 2 1
Direct
0.000 0.000 0.000 Li
0.000 0.500 0.500 Ho
0.500 0.000 0.500 Ho
0.500 0.500 0.000 Bi
```

Output
Volume ... 105.1 Å³ per cell
E_form ... -357 meV per atom
Crystal system ... tetragonal
SG ... P4/mmm (123)
Electronic total energy ... -4.095 eV/atom
Offset from the most stable computed form ... 0.000 eV/atom

=====

(12)
The following is a DFT calculation (PBE) of an optimized crystal structure of Tb2SmY4Er2.

Geometry as POSCAR:
```
Tb2SmY4Er2
1.0
9.330 -1.797 0.000
9.330 1.797 0.000
-4.146 0.000 8.597
Tb Sm Y Er
2 1 4 2
Direct
0.149 0.149 0.168 Tb
0.851 0.851 0.832 Tb
0.000 0.000 0.500 Sm
0.186 0.186 0.834 Y
0.481 0.481 0.165 Y
0.519 0.519 0.835 Y
0.814 0.814 0.166 Y
0.332 0.332 0.500 Er
0.668 0.668 0.500 Er
```

Output
Volume ... 288.2 Å³ per cell
E_form ... 2 meV per atom
Crystal system ... monoclinic
SG ... C2/m (12)
Electronic total energy ... -5.439 eV/atom